Record 1
# TbPmV2O8 GGA+U optimized geometry
data_TbPmV2O8
_cell_length_a 7.3156
_cell_length_b 7.3156
_cell_length_c 6.4173
_cell_angle_alpha 90.00
_cell_angle_beta 90.00
_cell_angle_gamma 90.00
_symmetry_space_group_name_H-M 'I -4 m 2'
_symmetry_Int_Tables_number 119
_symmetry_space_group_name_Hall 'I -4 -2'
loop_
_atom_site_label
_atom_site_fract_x
_atom_site_fract_y
_atom_site_fract_z
Tb1 0.0000 0.0000 0.0000
Pm1 0.0000 0.5000 0.7500
V1 0.0000 0.0000 0.5000
V2 0.0000 0.5000 0.2500
O1 0.0000 0.1806 0.6762
O2 0.0000 0.3154 0.0784
# Total magnetization: 0.000 μB/atom
# Raw total energy: -193.4 eV per cell

=====

Record 2
# TbPm2WO8 GGA+U optimized geometry
data_TbPm2WO8
_cell_length_a 7.2665
_cell_length_b 7.3736
_cell_length_c 6.9400
_cell_angle_alpha 90.00
_cell_angle_beta 90.00
_cell_angle_gamma 90.00
_symmetry_space_group_name_H-M 'C m m m'
_symmetry_Int_Tables_number 65
_symmetry_space_group_name_Hall '-C 2 2'
loop_
_atom_site_label
_atom_site_fract_x
_atom_site_fract_y
_atom_site_fract_z
Tb1 0.0000 0.0000 0.0000
Pm1 0.0000 0.5000 0.2508
W1 0.0000 0.0000 0.5000
O1 0.0000 0.1784 0.2896
O2 0.1966 0.5000 0.0000
O3 0.2320 0.5000 0.5000
# Total magnetization: 0.083 μB/atom
# Raw total energy: -188.4 eV per cell

=====

Record 3
# TbPmWO6 GGA+U optimized geometry
data_TbPmWO6
_cell_length_a 5.5977
_cell_length_b 5.5977
_cell_length_c 9.7304
_cell_angle_alpha 90.00
_cell_angle_beta 90.00
_cell_angle_gamma 120.00
_symmetry_space_group_name_H-M 'P -3 1 c'
_symmetry_Int_Tables_number 163
_symmetry_space_group_name_Hall '-P 3 2c'
loop_
_atom_site_label
_atom_site_fract_x
_atom_site_fract_y
_atom_site_fract_z
Tb1 0.3333 0.6667 0.2500
Pm1 0.0000 0.0000 0.0000
W1 0.3333 0.6667 0.7500
O1 0.0428 0.3751 0.6378
# Total magnetization: 0.000 μB/atom
# Raw total energy: -144.6 eV per cell

=====

Record 4
# Tb2PmWO8 GGA+U optimized geometry
data_Tb2PmWO8
_cell_length_a 5.0848
_cell_length_b 6.9574
_cell_length_c 5.0848
_cell_angle_alpha 90.00
_cell_angle_beta 90.51
_cell_angle_gamma 90.00
_symmetry_space_group_name_H-M 'P 1 2/m 1'
_symmetry_Int_Tables_number 10
loop_
_symmetry_equiv_pos_as_xyz
'x,y,z'
'-x,-y,-z'
'-x,y,-z'
'x,-y,z'
loop_
_atom_site_label
_atom_site_fract_x
_atom_site_fract_y
_atom_site_fract_z
Tb1 0.0000 0.2447 0.0000
Pm1 0.5000 0.5000 0.5000
W1 0.5000 0.0000 0.5000
O1 0.1868 0.5000 0.1849
O2 0.2266 0.0000 0.2249
O3 0.3157 0.2070 0.6828
# Total magnetization: 0.075 μB/atom
# Raw total energy: -94.7 eV per cell

=====

Question: Number 4 is which compound?
Answer: Tb2PmWO8